[1]
GeTe2MoAs after structural relaxation, computed with GGA-PBE.

raw formation energy = 0.64 eV/atom

abc: 5.2643 4.8404 5.2643
angles: 90.00 90.00 90.00
Fractional positions:
Ge1 0.0000 0.5000 0.0000
Mo1 0.0000 0.0000 0.0000
Te1 0.5000 0.0000 0.0000
Te2 0.0000 0.0000 0.5000
As1 0.5000 0.5000 0.5000

[2]
Pm12Fe3Cu5 after structural relaxation, computed with GGA-PBE.

formation energy from the elements = 0.39 eV/atom

abc: 14.4732 14.4732 14.4732
angles: 109.47 109.47 109.47
Fractional positions:
Pm1 0.6302 0.0537 0.2253
Pm2 0.8698 0.2747 0.4463
Pm3 0.0952 0.1717 0.2253
Pm4 0.5952 0.7253 0.6717
Pm5 0.5952 0.8698 0.4235
Pm6 0.7253 0.1302 0.0537
Pm7 0.1302 0.7253 0.5537
Pm8 0.7747 0.3283 0.9048
Pm9 0.0537 0.4235 0.8283
Pm10 0.0765 0.9048 0.1302
Pm11 0.4048 0.1302 0.5765
Pm12 0.5765 0.6302 0.4048
Pm13 0.7253 0.5952 0.1717
Pm14 0.9235 0.0952 0.8698
Pm15 0.2747 0.8698 0.9463
Pm16 0.9048 0.0765 0.6302
Pm17 0.6302 0.5765 0.9048
Pm18 0.9463 0.5765 0.1717
Pm19 0.9048 0.8283 0.7747
Pm20 0.8283 0.9235 0.0537
Pm21 0.7747 0.4463 0.3698
Pm22 0.4235 0.3698 0.5952
Pm23 0.1717 0.0952 0.7253
Pm24 0.3698 0.9463 0.7747
Pm25 0.8283 0.9048 0.2747
Pm26 0.2253 0.5537 0.6302
Pm27 0.5537 0.3283 0.9235
Pm28 0.3283 0.5537 0.4235
Pm29 0.6717 0.2253 0.5952
Pm30 0.1302 0.4048 0.0765
Pm31 0.9235 0.8283 0.5537
Pm32 0.2747 0.4048 0.8283
Pm33 0.2253 0.6717 0.0952
Pm34 0.4463 0.6717 0.0765
Pm35 0.4463 0.7747 0.8698
Pm36 0.3283 0.7747 0.4048
Pm37 0.5537 0.2253 0.1302
Pm38 0.5765 0.9463 0.6717
Pm39 0.8698 0.5952 0.9235
Pm40 0.0765 0.1717 0.4463
Pm41 0.0952 0.9235 0.3698
Pm42 0.4048 0.2747 0.3283
Pm43 0.1717 0.0765 0.9463
Pm44 0.0537 0.6302 0.7253
Pm45 0.6717 0.4463 0.5765
Pm46 0.9463 0.3698 0.2747
Pm47 0.3698 0.4235 0.0952
Pm48 0.4235 0.0537 0.3283
Cu1 0.3750 0.2500 0.1250
Cu2 0.1250 0.7500 0.3750
Cu3 0.2500 0.3750 0.6250
Cu4 0.7500 0.1250 0.8750
Cu5 0.5000 0.5000 0.0000
Cu6 0.0000 0.5000 0.0000
Cu7 0.5000 0.5000 0.5000
Cu8 0.0000 0.0000 0.0000
Cu9 0.3750 0.1250 0.7500
Cu10 0.0000 0.5000 0.5000
Cu11 0.6250 0.8750 0.2500
Cu12 0.8750 0.6250 0.7500
Cu13 0.1250 0.3750 0.2500
Cu14 0.8750 0.2500 0.6250
Cu15 0.5000 0.0000 0.5000
Cu16 0.6250 0.7500 0.8750
Cu17 0.5000 0.0000 0.0000
Cu18 0.2500 0.8750 0.1250
Cu19 0.0000 0.0000 0.5000
Cu20 0.7500 0.6250 0.3750
Fe1 0.7500 0.8750 0.6250
Fe2 0.2500 0.6250 0.8750
Fe3 0.6250 0.2500 0.3750
Fe4 0.2500 0.1250 0.3750
Fe5 0.6250 0.3750 0.7500
Fe6 0.8750 0.7500 0.1250
Fe7 0.7500 0.3750 0.1250
Fe8 0.8750 0.1250 0.2500
Fe9 0.3750 0.6250 0.2500
Fe10 0.3750 0.7500 0.6250
Fe11 0.1250 0.8750 0.7500
Fe12 0.1250 0.2500 0.8750

[3]
Mg4TiNb3N8 after structural relaxation, computed with GGA-PBE.

raw formation energy = -1.07 eV/atom

abc: 6.1345 6.2608 6.1345
angles: 119.34 120.00 90.00
Fractional positions:
Mg1 0.5000 0.0000 0.5000
Mg2 0.0000 0.0000 0.0000
Mg3 0.5000 0.0000 0.0000
Mg4 0.0000 0.0000 0.5000
N1 0.7552 0.2600 0.0048
N2 0.7552 0.2600 0.5104
N3 0.2448 0.7400 0.4896
N4 0.2496 0.2600 0.0048
N5 0.7504 0.7400 0.9952
N6 0.2448 0.7400 0.9952
N7 0.2508 0.2524 0.5016
N8 0.7492 0.7476 0.4984
Nb1 0.0000 0.5000 0.5000
Nb2 0.5000 0.5000 0.0000
Nb3 0.5000 0.5000 0.5000
Ti1 0.0000 0.5000 0.0000

[4]
RbSr2Cu2 after structural relaxation, computed with GGA-PBE.

relative energy among the computed polymorphs = 76 meV per atom
formation energy from the elements = 0.20 eV/atom

abc: 5.4073 5.4073 7.2205
angles: 68.01 68.01 90.00
Fractional positions:
Cu1 0.6016 0.6016 0.7968
Cu2 0.3984 0.3984 0.2032
Sr1 0.2500 0.7500 0.5000
Sr2 0.7500 0.2500 0.5000
Rb1 0.0000 0.0000 0.0000

- What is the formula in the second record?
  Pm12Fe3Cu5